Compound: CeGdSb
Source: Alexandria
Functional: PBE-GGA
Structure: relaxed

## Properties
Formation energy (no corrections): -1.258 eV per formula unit
Mass density: 7.6 g/cm³
Size of the total moment: 9.1 μB per cell
Crystal system: trigonal
ΔE to the lowest computed polymorph: 0.192 eV/atom
Symmetry: P3m1 (156)

a = 3.989 Å, b = 5.140 Å, c = 5.140 Å
α = 120.00°, β = 90.00°, γ = 90.00°
Atoms (fractional coordinates):
Gd 0.432 0.667 0.333
Sb 0.594 0.333 0.667
Ce 0.974 0.000 0.000

=====

Compound: SrAl2ReGe
Source: Alexandria
Functional: PBE-GGA
Structure: relaxed

## Properties
Mass density: 5.6 g/cm³
Size of the total moment: 0.9 μB per cell
Crystal system: tetragonal
Symmetry: P4/mmm (123)
ΔH_f (0 K): 0.71 eV/atom

a = 4.978 Å, b = 4.785 Å, c = 4.978 Å
α = 90.00°, β = 90.00°, γ = 90.00°
Atoms (fractional coordinates):
Al 0.500 0.000 0.000
Al 0.000 0.000 0.500
Re 0.000 0.500 0.000
Sr 0.500 0.500 0.500
Ge 0.000 0.000 0.000

=====

Compound: Si2HgRh
Source: Alexandria
Functional: PBE-GGA
Structure: relaxed

## Properties
Formation energy (no corrections): -0.078 eV per formula unit
Mass density: 8.9 g/cm³
Size of the total moment: 0.0 μB per cell
Crystal system: trigonal
Symmetry: R-3m (166)

a = 8.297 Å, b = 8.297 Å, c = 8.297 Å
α = 21.52°, β = 21.52°, γ = 21.52°
Atoms (fractional coordinates):
Si 0.987 0.987 0.987
Si 0.513 0.513 0.513
Rh 0.250 0.250 0.250
Hg 0.750 0.750 0.750

=====

Compound: YRh3S
Source: Alexandria
Functional: PBE-GGA
Structure: relaxed

## Properties
Formation energy (no corrections): 7.278 eV per formula unit
Mass density: 6.0 g/cm³
Size of the total moment: 2.1 μB per cell
Crystal system: cubic
ΔE to the lowest computed polymorph: 1.960 eV/atom
Symmetry: Pm-3m (221)

a = 4.928 Å, b = 4.928 Å, c = 4.928 Å
α = 90.00°, β = 90.00°, γ = 90.00°
Atoms (fractional coordinates):
S 0.500 0.500 0.500
Y 0.000 0.000 0.000
Rh 0.500 0.000 0.000
Rh 0.000 0.500 0.000
Rh 0.000 0.000 0.500

=====

Compound: K2Rb5Na
Source: Alexandria
Functional: PBE-GGA
Structure: relaxed

## Properties
Mass density: 1.1 g/cm³
Size of the total moment: 0.0 μB per cell
Crystal system: monoclinic
ΔE to the lowest computed polymorph: 0.110 eV/atom
Symmetry: Cm (8)
ΔH_f (0 K): 0.13 eV/atom

a = 9.292 Å, b = 9.292 Å, c = 11.109 Å
α = 65.11°, β = 65.15°, γ = 89.97°
Atoms (fractional coordinates):
Rb 0.728 0.728 0.044
Rb 0.228 0.727 0.045
Rb 0.300 0.300 0.399
Rb 0.727 0.228 0.045
Rb 0.228 0.228 0.045
Na 0.102 0.102 0.798
K 0.206 0.705 0.589
K 0.705 0.206 0.589

=====

Compound: NaAg2IrBr8
Source: Alexandria
Functional: PBE-GGA
Structure: relaxed

## Properties
Formation energy (no corrections): -5.439 eV per formula unit
Mass density: 5.0 g/cm³
Size of the total moment: 0.0 μB per cell
Crystal system: triclinic
Symmetry: P-1 (2)

a = 6.599 Å, b = 8.053 Å, c = 8.355 Å
α = 98.15°, β = 82.78°, γ = 125.19°
Atoms (fractional coordinates):
Br 0.988 0.772 0.180
Br 0.026 0.785 0.759
Br 0.539 0.770 0.992
Br 0.454 0.715 0.498
Br 0.012 0.228 0.820
Br 0.546 0.285 0.502
Br 0.974 0.215 0.241
Br 0.461 0.230 0.008
Ag 0.487 0.485 0.259
Ag 0.513 0.515 0.741
Na 0.000 0.000 0.500
Ir 0.000 0.000 0.000

=====

Compound: Ag3AsO2F6
Source: Alexandria
Functional: PBE-GGA
Structure: relaxed

## Properties
Formation energy (no corrections): -14.397 eV per formula unit
Mass density: 4.2 g/cm³
Size of the total moment: 1.9 μB per cell
Crystal system: monoclinic
Symmetry: C2/m (12)

a = 5.070 Å, b = 6.920 Å, c = 8.026 Å
α = 115.54°, β = 119.47°, γ = 90.00°
Atoms (fractional coordinates):
F 0.230 0.731 0.827
F 0.770 0.269 0.173
F 0.667 0.919 0.838
F 0.230 0.095 0.827
F 0.770 0.905 0.173
F 0.333 0.081 0.162
As 0.500 0.000 0.000
Ag 0.500 0.500 0.500
Ag 0.000 0.500 0.000
Ag 0.500 0.000 0.500
O 0.346 0.662 0.324
O 0.654 0.338 0.676

=====

Compound: SrHgSb
Source: Alexandria
Functional: PBE-GGA
Structure: relaxed

## Properties
Formation energy (no corrections): -1.782 eV per formula unit
Mass density: 7.1 g/cm³
Size of the total moment: 0.0 μB per cell
Crystal system: trigonal
ΔE to the lowest computed polymorph: 0.058 eV/atom
Symmetry: P3m1 (156)

a = 4.834 Å, b = 4.834 Å, c = 4.730 Å
α = 90.00°, β = 90.00°, γ = 120.00°
Atoms (fractional coordinates):
Sr 0.333 0.667 0.687
Hg 0.000 0.000 0.057
Sb 0.667 0.333 0.256

=====

Compound: ZrNbW
Source: Alexandria
Functional: PBE-GGA
Structure: relaxed

## Properties
Mass density: 10.1 g/cm³
Size of the total moment: 0.0 μB per cell
Crystal system: orthorhombic
ΔE to the lowest computed polymorph: 0.320 eV/atom
Symmetry: Fmmm (69)
ΔH_f (0 K): 0.27 eV/atom

a = 5.269 Å, b = 5.269 Å, c = 5.587 Å
α = 105.94°, β = 105.94°, γ = 114.67°
Atoms (fractional coordinates):
Nb 0.167 0.167 0.334
Nb 0.833 0.833 0.666
Zr 0.327 0.673 0.000
Zr 0.673 0.327 0.000
W 0.750 0.250 0.500
W 0.250 0.750 0.500

=====

Compound: Sm2Si7Pd12
Source: Alexandria
Functional: PBE-GGA
Structure: relaxed

## Properties
Formation energy (no corrections): -17.019 eV per formula unit
Mass density: 8.7 g/cm³
Size of the total moment: 0.0 μB per cell
Crystal system: trigonal
Symmetry: P-3 (147)

a = 3.876 Å, b = 10.032 Å, c = 10.032 Å
α = 120.00°, β = 90.00°, γ = 90.00°
Atoms (fractional coordinates):
Pd 0.249 0.620 0.061
Pd 0.250 0.112 0.257
Pd 0.751 0.061 0.441
Pd 0.750 0.257 0.146
Pd 0.249 0.939 0.559
Pd 0.750 0.854 0.112
Pd 0.751 0.559 0.620
Pd 0.249 0.441 0.380
Pd 0.750 0.888 0.743
Pd 0.751 0.380 0.939
Pd 0.250 0.146 0.888
Pd 0.250 0.743 0.854
Si 0.250 0.884 0.290
Si 0.250 0.405 0.116
Si 0.250 0.710 0.595
Si 0.500 0.000 0.000
Si 0.750 0.595 0.884
Si 0.750 0.290 0.405
Si 0.750 0.116 0.710
Sm 0.754 0.667 0.333
Sm 0.246 0.333 0.667

=====

Compound: KLiCaPb
Source: Alexandria
Functional: PBE-GGA
Structure: relaxed

## Properties
Mass density: 4.2 g/cm³
Size of the total moment: 0.0 μB per cell
Crystal system: cubic
Symmetry: F-43m (216)
ΔH_f (0 K): -0.23 eV/atom

a = 5.495 Å, b = 5.495 Å, c = 5.495 Å
α = 60.00°, β = 60.00°, γ = 60.00°
Atoms (fractional coordinates):
Li 0.750 0.750 0.750
Pb 0.500 0.500 0.500
K 0.000 0.000 0.000
Ca 0.250 0.250 0.250

=====

Compound: BSbI2Cl
Source: Alexandria
Functional: PBE-GGA
Structure: relaxed

## Properties
Formation energy (no corrections): 7.230 eV per formula unit
Mass density: 3.2 g/cm³
Size of the total moment: 0.0 μB per cell
Crystal system: tetragonal
ΔE to the lowest computed polymorph: 0.786 eV/atom
Symmetry: P4/mmm (123)

a = 6.638 Å, b = 6.638 Å, c = 4.915 Å
α = 90.00°, β = 90.00°, γ = 90.00°
Atoms (fractional coordinates):
I 0.500 0.000 0.000
I 0.000 0.500 0.000
Cl 0.000 0.000 0.000
Sb 0.000 0.000 0.500
B 0.500 0.500 0.500